# PBE Al2FeB, relaxed
# Total energy: -5.361 eV per atom
# E_form: 295 meV per atom
data_Al2FeB
_cell_length_a 7.4929
_cell_length_b 7.4929
_cell_length_c 3.8931
_cell_angle_alpha 90.00
_cell_angle_beta 90.00
_cell_angle_gamma 90.00
_symmetry_space_group_name_H-M 'P 1'
_symmetry_Int_Tables_number 1
_symmetry_space_group_name_Hall 'P 1'
loop_
_atom_site_label
_atom_site_fract_x
_atom_site_fract_y
_atom_site_fract_z
_atom_site_occupancy
Al1 0.1160 0.2500 0.1250 1
Al2 0.2500 0.6160 0.3750 1
Al3 0.2500 0.8840 0.8750 1
Al4 0.3840 0.2500 0.6250 1
Al5 0.6160 0.7500 0.6250 1
Al6 0.7500 0.1160 0.8750 1
Al7 0.7500 0.3840 0.3750 1
Al8 0.8840 0.7500 0.1250 1
Fe1 0.0000 0.0000 0.5000 1
Fe2 0.0000 0.5000 0.7500 1
Fe3 0.5000 0.0000 0.2500 1
Fe4 0.5000 0.5000 0.0000 1
B1 0.0000 0.0000 0.0000 1
B2 0.0000 0.5000 0.2500 1
B3 0.5000 0.0000 0.7500 1
B4 0.5000 0.5000 0.5000 1

---

# PBE Si3Pb2Au9, relaxed
# Total energy: -3.785 eV per atom
# ΔE_f (raw): 13 meV/atom
data_Si3Pb2Au9
_cell_length_a 8.0227
_cell_length_b 8.0227
_cell_length_c 10.9677
_cell_angle_alpha 112.86
_cell_angle_beta 112.86
_cell_angle_gamma 59.72
_symmetry_space_group_name_H-M 'P 1'
_symmetry_Int_Tables_number 1
_symmetry_space_group_name_Hall 'P 1'
loop_
_atom_site_label
_atom_site_fract_x
_atom_site_fract_y
_atom_site_fract_z
_atom_site_occupancy
Si1 0.0000 0.5000 0.0000 1
Si2 0.1612 0.6653 0.5041 1
Si3 0.3347 0.8388 0.9959 1
Si4 0.5000 0.0000 0.5000 1
Si5 0.6653 0.1612 0.0041 1
Si6 0.8388 0.3347 0.4959 1
Pb1 0.0797 0.2694 0.2410 1
Pb2 0.2694 0.0797 0.7410 1
Pb3 0.7306 0.9203 0.2590 1
Pb4 0.9203 0.7306 0.7590 1
Au1 0.0104 0.1074 0.9119 1
Au2 0.1074 0.0104 0.4119 1
Au3 0.1895 0.5963 0.2621 1
Au4 0.1944 0.3575 0.5658 1
Au5 0.2979 0.5145 0.9656 1
Au6 0.3575 0.1944 0.0658 1
Au7 0.3681 0.6319 0.7500 1
Au8 0.4037 0.8105 0.2379 1
Au9 0.4855 0.7021 0.5344 1
Au10 0.5145 0.2979 0.4656 1
Au11 0.5963 0.1895 0.7621 1
Au12 0.6319 0.3681 0.2500 1
Au13 0.6425 0.8056 0.9342 1
Au14 0.7021 0.4855 0.0344 1
Au15 0.8056 0.6425 0.4342 1
Au16 0.8105 0.4037 0.7379 1
Au17 0.8926 0.9896 0.5881 1
Au18 0.9896 0.8926 0.0881 1